Entry 1:
Density functional theory data (PBE-GGA) for crystalline TlCrHg2 at its relaxed geometry.

Unit cell a=6.6468 b=6.6468 c=6.6468 alpha=152.24 beta=136.35 gamma=52.52
Atoms (fractional coordinates):
Tl: 0.0000 0.0000 0.0000
Cr: 0.5000 0.5000 0.0000
Hg: 0.2981 0.7981 0.5000
Hg: 0.7019 0.2019 0.5000

Entry 2:
Density functional theory data (PBE-GGA) for crystalline TlCrHg2 at its relaxed geometry.

Unit cell a=5.4854 b=5.4854 c=5.4854 alpha=130.86 beta=130.86 gamma=72.04
Atoms (fractional coordinates):
Tl: 0.0000 0.0000 0.0000
Cr: 0.2500 0.7500 0.5000
Hg: 0.5000 0.5000 0.0000
Hg: 0.7500 0.2500 0.5000

Entry 3:
Density functional theory data (PBE-GGA) for crystalline TlCrHg2 at its relaxed geometry.

Unit cell a=10.9786 b=10.9786 c=10.9786 alpha=157.15 beta=157.15 gamma=32.54
Atoms (fractional coordinates):
Tl: 0.0000 0.0000 0.0000
Tl: 0.7500 0.2500 0.5000
Cr: 0.2500 0.7500 0.5000
Cr: 0.5000 0.5000 0.0000
Hg: 0.1446 0.6250 0.0196
Hg: 0.3750 0.3946 0.5196
Hg: 0.6054 0.1250 0.9804
Hg: 0.8750 0.8554 0.4804

Entry 4:
Density functional theory data (PBE-GGA) for crystalline TlCrHg2 at its relaxed geometry.

Unit cell a=4.9752 b=4.9752 c=3.8908 alpha=90.08 beta=90.08 gamma=102.17
Atoms (fractional coordinates):
Tl: 0.0000 0.0000 0.0000
Cr: 0.5000 0.5000 0.0000
Hg: 0.0000 0.5000 0.5000
Hg: 0.5000 0.0000 0.5000

Number 1: energy relative to the elements 33 kJ/mol of atoms. Number 2: energy relative to the elements 38 kJ/mol of atoms. Number 3: energy relative to the elements 42 kJ/mol of atoms. Number 4: energy relative to the elements 39 kJ/mol of atoms.